1.
Compound: Lu4Bi3W2N3
Source: OQMD via LeMat-Bulk
Functional: PBE
Structure: optimized geometry

Cell: 10.5368 6.0594 14.2446 Å, 90.00 103.30 90.00°
With the nearest neighbours (Å) after each atom.
Space group C2/c (No. 15)
Unique sites:
Lu  0.1103  0.0946  0.0840 (multiplicity 8)  3 N 2.30-2.33
Lu  0.2268  0.0751  0.4161 (multiplicity 8)  3 N 2.29-2.33
Bi  0.0000  0.1052  0.7500 (multiplicity 4)  4 Lu 3.11-3.15, 2 W 3.20, 2 Bi 3.27
Bi  0.1568  0.4278  0.2536 (multiplicity 8)  4 Lu 3.08-3.13, 2 W 3.10-3.14, 2 Bi 3.27-3.28
W  0.0461  0.4319  0.9312 (multiplicity 8)  3 N 2.23-2.41
N  0.0886  0.2381  0.5007 (multiplicity 8)  2 W 2.23, 4 Lu 2.31-2.33
N  0.2500  0.2500  0.0000 (multiplicity 4)  4 Lu 2.29-2.30, 2 W 2.41

For the energy, the calculation gives -351.5 eV/cell. The crystal system is monoclinic. As for the volume: 18.439 Å³ per atom.

***

2.
Compound: AcErNO
Source: OQMD via LeMat-Bulk
Functional: PBE
Structure: optimized geometry

Cell: 4.0439 6.9419 5.8500 Å, 90.00 90.00 90.00°
With the nearest neighbours (Å) after each atom.
Space group Pmc2_1 (No. 26)
Unique sites:
Ac  0.0000  0.1590  0.0000 (multiplicity 2)  2 N 2.52-2.58, 2 O 2.62
Er  0.5000  0.3264  0.5136 (multiplicity 2)  2 O 2.19, 2 N 2.25
N  0.0000  0.2003  0.4383 (multiplicity 2)  2 Er 2.25
O  0.5000  0.3782  0.8825 (multiplicity 2)  2 Er 2.19

For the energy, the calculation gives -60.0 eV/cell. The crystal system is orthorhombic. As for the volume: 20.528 Å³ per atom.

***

3.
Compound: Mg2Zn
Source: OQMD via LeMat-Bulk
Functional: PBE
Structure: optimized geometry

Cell: 3.1504 15.3247 4.8189 Å, 90.00 90.00 90.00°
With the nearest neighbours (Å) after each atom.
Space group Cmcm (No. 63)
Unique sites:
Mg  0.0000  0.0949  0.2500 (multiplicity 4)  6 Zn 2.83-2.93, 4 Mg 3.06-3.15
Mg  0.0000  0.2177  0.7500 (multiplicity 4)  2 Zn 2.90, 8 Mg 3.04-3.15
Zn  0.0000  0.4413  0.2500 (multiplicity 4)  8 Mg 2.83-2.93, 4 Zn 3.01-3.15

For the energy, the calculation gives -18.0 eV/cell. The crystal system is orthorhombic. As for the volume: 19.388 Å³ per atom.

***

4.
Compound: BaCd2GePt
Source: OQMD via LeMat-Bulk
Functional: PBE
Structure: optimized geometry

Cell: 4.6966 4.6966 11.3839 Å, 90.00 90.00 90.00°
With the nearest neighbours (Å) after each atom.
Space group I4mm (No. 107)
Unique sites:
Ba  0.0000  0.0000  0.0000 (multiplicity 2)  4 Pt 3.54, 4 Ge 3.54, 8 Cd 3.68-3.70
Cd  0.0000  0.5000  0.2516 (multiplicity 4)  2 Pt 2.85, 2 Ge 2.86
Ge  0.0000  0.0000  0.6084 (multiplicity 2)  1 Pt 2.45
Pt  0.0000  0.0000  0.3928 (multiplicity 2)  1 Ge 2.45

For the energy, the calculation gives -33.8 eV/cell. The crystal system is tetragonal. As for the volume: 25.111 Å³ per atom.

***

5.
Compound: SmNbGa
Source: OQMD via LeMat-Bulk
Functional: PBE
Structure: optimized geometry

Cell: 6.6110 6.6110 6.6110 Å, 90.00 90.00 90.00°
With the nearest neighbours (Å) after each atom.
Space group F-43m (No. 216)
Unique sites:
Sm  0.0000  0.0000  0.0000 (multiplicity 4)  4 Ga 2.86
Nb  0.0000  0.0000  0.5000 (multiplicity 4)  4 Ga 2.86
Ga  0.2500  0.2500  0.7500 (multiplicity 4)  4 Nb 2.86, 4 Sm 2.86

For the energy, the calculation gives -68.6 eV/cell. The crystal system is cubic. As for the volume: 24.078 Å³ per atom.

***

6.
Compound: Nd3TaO7
Source: OQMD via LeMat-Bulk
Functional: PBE
Structure: optimized geometry

Cell: 7.6008 10.8353 7.6886 Å, 90.00 90.00 90.00°
With the nearest neighbours (Å) after each atom.
Space group C222_1 (No. 20)
Unique sites:
Nd  0.0014  0.0000  0.0000 (multiplicity 4)  4 O 2.38-2.41
Nd  0.2323  0.2682  0.7499 (multiplicity 8)  6 O 2.29-2.48
Ta  0.0003  0.5000  0.0000 (multiplicity 4)  6 O 1.99-2.02
O  0.0000  0.1300  0.2500 (multiplicity 4)  4 Nd 2.31-2.38
O  0.0000  0.1335  0.7500 (multiplicity 4)  4 Nd 2.29-2.41
O  0.0000  0.4417  0.7500 (multiplicity 4)  2 Ta 2.02
O  0.1925  0.3772  0.0298 (multiplicity 8)  1 Ta 1.99
O  0.1929  0.3776  0.4698 (multiplicity 8)  1 Ta 1.99

For the energy, the calculation gives -388.5 eV/cell. The crystal system is orthorhombic. As for the volume: 14.391 Å³ per atom.

***

7.
Compound: GdSi2
Source: OQMD via LeMat-Bulk
Functional: PBE
Structure: optimized geometry

Cell: 4.1006 4.1006 4.0165 Å, 90.00 90.00 120.00°
With the nearest neighbours (Å) after each atom.
Space group P6/mmm (No. 191)
Unique sites:
Gd  0.0000  0.0000  0.0000 (multiplicity 1)  12 Si 3.10
Si  0.3333  0.6667  0.5000 (multiplicity 2)  3 Si 2.37

For the energy, the calculation gives -17.2 eV/cell. The crystal system is hexagonal. As for the volume: 19.496 Å³ per atom.

***

8.
Compound: CsMgNiSb
Source: OQMD via LeMat-Bulk
Functional: PBE
Structure: optimized geometry

Cell: 7.4622 7.4622 7.4622 Å, 90.00 90.00 90.00°
With the nearest neighbours (Å) after each atom.
Space group F-43m (No. 216)
Unique sites:
Cs  0.0000  0.0000  0.0000 (multiplicity 4)  4 Sb 3.23, 4 Mg 3.23
Mg  0.2500  0.2500  0.2500 (multiplicity 4)  4 Ni 3.23, 4 Cs 3.23
Ni  0.0000  0.0000  0.5000 (multiplicity 4)  4 Sb 3.23, 4 Mg 3.23
Sb  0.2500  0.2500  0.7500 (multiplicity 4)  4 Ni 3.23, 4 Cs 3.23

For the energy, the calculation gives -39.0 eV/cell. The crystal system is cubic. As for the volume: 25.970 Å³ per atom.

***

9.
Compound: W3N4
Source: OQMD via LeMat-Bulk
Functional: PBE
Structure: optimized geometry

Cell: 11.4854 2.8256 5.1860 Å, 90.00 114.43 90.00°
With the nearest neighbours (Å) after each atom.
Space group C2/m (No. 12)
Unique sites:
W  0.0000  0.0000  0.0000 (multiplicity 2)  6 N 2.04-2.15
W  0.2300  0.5000  0.7045 (multiplicity 4)  6 N 2.08-2.24
N  0.1126  0.0000  0.4236 (multiplicity 4)  4 W 2.04-2.17
N  0.1359  0.5000  0.9752 (multiplicity 4)  5 W 2.10-2.24

For the energy, the calculation gives -147.2 eV/cell. The crystal system is monoclinic. As for the volume: 10.946 Å³ per atom.

***

10.
Compound: LaTbSO2
Source: OQMD via LeMat-Bulk
Functional: PBE
Structure: optimized geometry

Cell: 3.9327 3.9327 6.7601 Å, 90.00 90.00 120.00°
With the nearest neighbours (Å) after each atom.
Space group P3m1 (No. 156)
Unique sites:
La  0.0000  0.0000  0.0000 (multiplicity 1)  4 O 2.37-2.43
Tb  0.3333  0.6667  0.5605 (multiplicity 1)  4 O 2.29-2.33
S  0.6667  0.3333  0.2898 (multiplicity 1)  3 Tb 2.92, 3 La 3.00
O  0.0000  0.0000  0.6408 (multiplicity 1)  3 Tb 2.33, 1 La 2.43
O  0.3333  0.6667  0.8986 (multiplicity 1)  1 Tb 2.29, 3 La 2.37

For the energy, the calculation gives -39.4 eV/cell. The crystal system is trigonal. As for the volume: 18.109 Å³ per atom.

***

11.
Compound: Sc2Ni
Source: OQMD via LeMat-Bulk
Functional: PBE
Structure: optimized geometry

Cell: 7.7057 7.7057 7.7057 Å, 90.00 90.00 90.00°
With the nearest neighbours (Å) after each atom.
Space group Fd-3m (No. 227, origin choice 2)
Unique sites:
Sc  0.0000  0.0000  0.0000 (multiplicity 16)  6 Sc 2.72
Ni  0.1250  0.1250  0.6250 (multiplicity 8)  12 Sc 3.19, 4 Ni 3.34

For the energy, the calculation gives -131.7 eV/cell. The energy of formation is 587.4 meV/atom. The crystal system is cubic. As for the volume: 19.065 Å³ per atom.

***

12.
Compound: Cs2NiAsBr6
Source: OQMD via LeMat-Bulk
Functional: PBE
Structure: optimized geometry

Cell: 10.7031 10.7031 10.7031 Å, 90.00 90.00 90.00°
With the nearest neighbours (Å) after each atom.
Space group Fm-3m (No. 225)
Unique sites:
Cs  0.2500  0.2500  0.2500 (multiplicity 8)  12 Br 3.78
Ni  0.0000  0.0000  0.0000 (multiplicity 4)  6 Br 2.61
As  0.0000  0.0000  0.5000 (multiplicity 4)  6 Br 2.74
Br  0.0000  0.0000  0.2440 (multiplicity 24)  1 Ni 2.61, 1 As 2.74

For the energy, the calculation gives -123.3 eV/cell. The crystal system is cubic. As for the volume: 30.653 Å³ per atom.

***

13.
Compound: Hf4PbSN2
Source: OQMD via LeMat-Bulk
Functional: PBE
Structure: optimized geometry

Cell: 3.3255 3.3255 13.2397 Å, 90.00 90.00 120.00°
With the nearest neighbours (Å) after each atom.
Space group P-6m2 (No. 187)
Unique sites:
Hf  0.0000  0.0000  0.1358 (multiplicity 2)  3 N 2.27
Hf  0.6667  0.3333  0.3151 (multiplicity 2)  3 N 2.25
Pb  0.0000  0.0000  0.5000 (multiplicity 1)  6 Hf 3.11, 6 Pb 3.33
S  0.6667  0.3333  0.0000 (multiplicity 1)  6 Hf 2.63
N  0.3333  0.6667  0.2271 (multiplicity 2)  6 Hf 2.25-2.27

For the energy, the calculation gives -73.9 eV/cell. The crystal system is hexagonal. As for the volume: 15.850 Å³ per atom.

***

14.
Compound: RbTmCu
Source: OQMD via LeMat-Bulk
Functional: PBE
Structure: optimized geometry

Cell: 7.3572 7.3572 7.3572 Å, 90.00 90.00 90.00°
With the nearest neighbours (Å) after each atom.
Space group F-43m (No. 216)
Unique sites:
Rb  0.0000  0.0000  0.0000 (multiplicity 4)  4 Cu 3.19
Tm  0.0000  0.0000  0.5000 (multiplicity 4)  4 Cu 3.19
Cu  0.2500  0.2500  0.2500 (multiplicity 4)  4 Rb 3.19, 4 Tm 3.19

For the energy, the calculation gives -27.8 eV/cell. The crystal system is cubic. As for the volume: 33.186 Å³ per atom.

***

15.
Compound: AcDyU
Source: OQMD via LeMat-Bulk
Functional: PBE
Structure: optimized geometry

Cell: 7.7263 7.7263 7.7263 Å, 90.00 90.00 90.00°
With the nearest neighbours (Å) after each atom.
Space group F-43m (No. 216)
Unique sites:
Ac  0.0000  0.0000  0.0000 (multiplicity 4)  4 U 3.35
Dy  0.0000  0.0000  0.5000 (multiplicity 4)  4 U 3.35
U  0.2500  0.2500  0.2500 (multiplicity 4)  4 Ac 3.35, 4 Dy 3.35

For the energy, the calculation gives -64.7 eV/cell. The energy of formation is 1278.1 meV/atom. The crystal system is cubic. As for the volume: 38.436 Å³ per atom.

***

16.
Compound: NaTcAg
Source: OQMD via LeMat-Bulk
Functional: PBE
Structure: optimized geometry

Cell: 6.4843 6.4843 6.4843 Å, 90.00 90.00 90.00°
With the nearest neighbours (Å) after each atom.
Space group F-43m (No. 216)
Unique sites:
Na  0.0000  0.0000  0.0000 (multiplicity 4)  4 Tc 2.81
Tc  0.2500  0.2500  0.7500 (multiplicity 4)  4 Na 2.81, 4 Ag 2.81
Ag  0.0000  0.0000  0.5000 (multiplicity 4)  4 Tc 2.81

For the energy, the calculation gives -41.6 eV/cell. The crystal system is cubic. As for the volume: 22.720 Å³ per atom.

***

17.
Compound: Nb
Source: OQMD via LeMat-Bulk
Functional: PBE
Structure: optimized geometry

Cell: 5.9467 5.9467 5.9467 Å, 90.00 90.00 90.00°
With the nearest neighbours (Å) after each atom.
Space group Fd-3m (No. 227, origin choice 2)
Unique sites:
Nb  0.1250  0.1250  0.1250 (multiplicity 8)  4 Nb 2.57

For the energy, the calculation gives -60.4 eV/cell. The energy of formation is 2544.7 meV/atom. The crystal system is cubic. As for the volume: 26.287 Å³ per atom.

***

18.
Compound: TaInFeNi
Source: OQMD via LeMat-Bulk
Functional: PBE
Structure: optimized geometry

Cell: 6.3065 6.3065 6.3065 Å, 90.00 90.00 90.00°
With the nearest neighbours (Å) after each atom.
Space group F-43m (No. 216)
Unique sites:
Ta  0.0000  0.0000  0.0000 (multiplicity 4)  4 Fe 2.73, 4 In 2.73
In  0.2500  0.2500  0.2500 (multiplicity 4)  4 Ta 2.73, 4 Ni 2.73
Fe  0.2500  0.2500  0.7500 (multiplicity 4)  4 Ta 2.73, 4 Ni 2.73
Ni  0.0000  0.0000  0.5000 (multiplicity 4)  4 In 2.73, 4 Fe 2.73

For the energy, the calculation gives -109.9 eV/cell. The crystal system is cubic. As for the volume: 15.676 Å³ per atom.

***

19.
Compound: PrCoAg
Source: OQMD via LeMat-Bulk
Functional: PBE
Structure: optimized geometry

Cell: 6.4812 6.4812 6.4812 Å, 90.00 90.00 90.00°
With the nearest neighbours (Å) after each atom.
Space group F-43m (No. 216)
Unique sites:
Pr  0.0000  0.0000  0.0000 (multiplicity 4)  4 Co 2.81
Co  0.2500  0.2500  0.7500 (multiplicity 4)  4 Pr 2.81, 4 Ag 2.81
Ag  0.0000  0.0000  0.5000 (multiplicity 4)  4 Co 2.81

For the energy, the calculation gives -56.3 eV/cell. The energy of formation is 214.3 meV/atom. The crystal system is cubic. As for the volume: 22.688 Å³ per atom.

***

20.
Compound: DyEr3Zr2Te2Os
Source: OQMD via LeMat-Bulk
Functional: PBE
Structure: optimized geometry

Cell: 3.9197 14.1896 8.0542 Å, 90.00 90.00 90.00°
With the nearest neighbours (Å) after each atom.
Space group Amm2 (No. 38)
Unique sites:
Dy  0.0000  0.0000  0.0000 (multiplicity 2)  2 Os 2.97, 2 Te 3.19, 2 Zr 3.32
Er  0.5000  0.0000  0.3739 (multiplicity 2)  1 Os 2.82
Er  0.5000  0.2013  0.9565 (multiplicity 4)  4 Te 3.12-3.18, 2 Zr 3.37, 1 Os 3.42, 2 Dy 3.48
Zr  0.0000  0.1210  0.6471 (multiplicity 4)  2 Os 2.68
Te  0.0000  0.1685  0.2617 (multiplicity 4)  6 Er 3.12-3.22, 2 Zr 3.13-3.18, 1 Dy 3.19
Os  0.5000  0.0000  0.7237 (multiplicity 2)  4 Zr 2.68, 1 Er 2.82, 2 Dy 2.97

For the energy, the calculation gives -118.2 eV/cell. The crystal system is orthorhombic. As for the volume: 24.887 Å³ per atom.